Compound: Ga2CuAu5
Source: the Alexandria database
Functional: PBE-GGA
Structure: optimized geometry

Properties
Crystal system: orthorhombic
Magnetic moment, μB/f.u.: 0.00
Total energy, eV/f.u.: -26.0
Symmetry: No. 63

abc: 8.3493 8.3493 10.9134
angles: 90.00 90.00 151.14
Last column: nearest neighbours and their distance in Å.
Sites, in units of the cell vectors:
Ga 0.1275 0.8725 0.5492  6 Au 2.55-2.77
Ga 0.1275 0.8725 0.9508  6 Au 2.55-2.77
Ga 0.8725 0.1275 0.0492  6 Au 2.55-2.77
Ga 0.8725 0.1275 0.4508  6 Au 2.55-2.77
Cu 0.1578 0.8422 0.2500  6 Au 2.58-2.77
Cu 0.8422 0.1578 0.7500  6 Au 2.58-2.77
Au 0.0215 0.9785 0.1269  2 Ga 2.55-2.57, 1 Cu 2.58, 2 Au 2.69-2.86
Au 0.0215 0.9785 0.3731  2 Ga 2.55-2.57, 1 Cu 2.58, 2 Au 2.69-2.86
Au 0.2292 0.7708 0.7500  2 Ga 2.74, 2 Cu 2.77, 4 Au 2.79
Au 0.2748 0.7252 0.0796  3 Ga 2.63-2.77, 1 Cu 2.65, 4 Au 2.79-2.83
Au 0.2748 0.7252 0.4204  3 Ga 2.63-2.77, 1 Cu 2.65, 4 Au 2.79-2.83
Au 0.7252 0.2748 0.5796  3 Ga 2.63-2.77, 1 Cu 2.65, 4 Au 2.79-2.83
Au 0.7252 0.2748 0.9204  3 Ga 2.63-2.77, 1 Cu 2.65, 4 Au 2.79-2.83
Au 0.7708 0.2292 0.2500  2 Ga 2.74, 2 Cu 2.77, 4 Au 2.79
Au 0.9785 0.0215 0.6269  2 Ga 2.55-2.57, 1 Cu 2.58, 2 Au 2.69-2.86
Au 0.9785 0.0215 0.8731  2 Ga 2.55-2.57, 1 Cu 2.58, 2 Au 2.69-2.86

***

Compound: Ga2Cu4Au5
Source: the Alexandria database
Functional: PBE-GGA
Structure: optimized geometry

Properties
Crystal system: monoclinic
Magnetic moment, μB/f.u.: 0.00
Total energy, eV/f.u.: -39.2
Symmetry: No. 12

abc: 9.3006 9.3006 6.3967
angles: 98.27 98.27 18.99
Last column: nearest neighbours and their distance in Å.
Sites, in units of the cell vectors:
Ga 0.2244 0.2244 0.3077  6 Au 2.70-2.72, 1 Cu 2.74, 2 Ga 2.94
Ga 0.7756 0.7756 0.6923  6 Au 2.70-2.72, 1 Cu 2.74, 2 Ga 2.94
Cu 0.0770 0.0770 0.1502  4 Cu 2.54-2.55, 1 Ga 2.74, 5 Au 2.77-2.82
Cu 0.4665 0.4665 0.1604  5 Cu 2.54-2.55, 3 Au 2.62-2.66
Cu 0.5335 0.5335 0.8396  5 Cu 2.54-2.55, 3 Au 2.62-2.66
Cu 0.9230 0.9230 0.8498  4 Cu 2.54-2.55, 1 Ga 2.74, 5 Au 2.77-2.82
Au 0.0000 0.0000 0.5000  6 Cu 2.66-2.82, 4 Au 2.89
Au 0.3242 0.3242 0.0364  3 Cu 2.62-2.77, 3 Ga 2.70-2.72, 1 Au 2.92
Au 0.3664 0.3664 0.4940  3 Ga 2.70-2.71, 3 Cu 2.81-3.01, 3 Au 2.89-2.92
Au 0.6336 0.6336 0.5060  3 Ga 2.70-2.71, 3 Cu 2.81-3.01, 3 Au 2.89-2.92
Au 0.6758 0.6758 0.9636  3 Cu 2.62-2.77, 3 Ga 2.70-2.72, 1 Au 2.92

***

Compound: GaCu5Au6
Source: the Alexandria database
Functional: PBE-GGA
Structure: optimized geometry

Properties
Crystal system: monoclinic
Magnetic moment, μB/f.u.: 0.00
Total energy, eV/f.u.: -44.0
Symmetry: No. 10

abc: 4.6519 5.8274 7.1247
angles: 90.00 106.95 90.00
Last column: nearest neighbours and their distance in Å.
Sites, in units of the cell vectors:
Ga 0.0000 0.0000 0.0000  8 Au 2.73-2.75, 4 Cu 2.91-3.00
Cu 0.0000 0.5000 0.0000  8 Au 2.72-2.74, 2 Ga 2.91, 2 Cu 2.97
Cu 0.2552 0.5000 0.6627  8 Au 2.70-2.78, 4 Cu 2.79-2.97
Cu 0.2559 0.0000 0.6591  8 Au 2.72-2.78, 3 Cu 2.77-2.91, 1 Ga 3.00
Cu 0.7441 0.0000 0.3409  8 Au 2.72-2.78, 3 Cu 2.77-2.91, 1 Ga 3.00
Cu 0.7448 0.5000 0.3373  8 Au 2.70-2.78, 4 Cu 2.79-2.97
Au 0.2331 0.2511 0.3324  7 Cu 2.70-2.78, 1 Ga 2.73, 4 Au 2.90-2.98
Au 0.2331 0.7489 0.3324  7 Cu 2.70-2.78, 1 Ga 2.73, 4 Au 2.90-2.98
Au 0.5000 0.2516 0.0000  6 Cu 2.74-2.78, 2 Ga 2.75, 4 Au 2.90-2.98
Au 0.5000 0.7484 0.0000  6 Cu 2.74-2.78, 2 Ga 2.75, 4 Au 2.90-2.98
Au 0.7669 0.2511 0.6676  7 Cu 2.70-2.78, 1 Ga 2.73, 4 Au 2.90-2.98
Au 0.7669 0.7489 0.6676  7 Cu 2.70-2.78, 1 Ga 2.73, 4 Au 2.90-2.98

***

Compound: Ga3Cu7Au2
Source: the Alexandria database
Functional: PBE-GGA
Structure: optimized geometry

Properties
Crystal system: monoclinic
Magnetic moment, μB/f.u.: 0.00
Total energy, eV/f.u.: -44.2
Symmetry: No. 10

abc: 4.2141 2.7503 15.3213
angles: 90.00 90.71 90.00
Last column: nearest neighbours and their distance in Å.
Sites, in units of the cell vectors:
Ga 0.0000 0.0000 0.0000  8 Cu 2.51-2.52, 2 Ga 2.75
Ga 0.2652 0.5000 0.3983  6 Cu 2.57-2.70, 2 Au 2.72, 2 Ga 2.75
Ga 0.7348 0.5000 0.6017  6 Cu 2.57-2.70, 2 Au 2.72, 2 Ga 2.75
Cu 0.1115 0.5000 0.8671  2 Ga 2.51, 7 Cu 2.52-2.75, 2 Au 2.64
Cu 0.2510 0.0000 0.5502  6 Ga 2.57-2.70, 4 Cu 2.60-2.75, 1 Au 2.70
Cu 0.3926 0.0000 0.1514  8 Cu 2.52-2.75
Cu 0.5000 0.5000 0.0000  4 Ga 2.52, 8 Cu 2.60-2.75
Cu 0.6074 0.0000 0.8486  8 Cu 2.52-2.75
Cu 0.7490 0.0000 0.4498  6 Ga 2.57-2.70, 4 Cu 2.60-2.75, 1 Au 2.70
Cu 0.8885 0.5000 0.1329  2 Ga 2.51, 7 Cu 2.52-2.75, 2 Au 2.64
Au 0.0918 0.0000 0.7202  5 Cu 2.64-2.91, 2 Ga 2.72, 2 Au 2.75
Au 0.9082 0.0000 0.2798  5 Cu 2.64-2.91, 2 Ga 2.72, 2 Au 2.75

***

Compound: Ga2Cu4Au
Source: the Alexandria database
Functional: PBE-GGA
Structure: optimized geometry

Properties
Crystal system: triclinic
Magnetic moment, μB/f.u.: 0.00
Total energy, eV/f.u.: -26.1
Symmetry: No. 1

abc: 5.0133 6.5361 6.6220
angles: 79.07 72.58 81.07
Last column: nearest neighbours and their distance in Å.
Sites, in units of the cell vectors:
Ga 0.0000 0.0000 0.0000  7 Cu 2.49-2.77, 1 Au 2.71
Ga 0.0401 0.2590 0.3502  6 Cu 2.50-2.78, 2 Au 2.73-2.75
Ga 0.6032 0.0898 0.7331  8 Cu 2.48-2.74
Ga 0.9505 0.6491 0.7342  6 Cu 2.50-2.65, 2 Au 2.57-2.61
Cu 0.2185 0.3464 0.9244  5 Cu 2.45-2.75, 4 Ga 2.55-2.67
Cu 0.2448 0.9468 0.5766  4 Ga 2.50-2.77, 4 Cu 2.57-2.69
Cu 0.3997 0.7151 0.9005  5 Cu 2.53-2.77, 3 Ga 2.54-2.71, 1 Au 2.78
Cu 0.4453 0.9989 0.1469  6 Cu 2.56-2.78, 4 Ga 2.59-2.69, 2 Au 2.72-2.86
Cu 0.5334 0.2528 0.3648  3 Ga 2.50-2.57, 5 Cu 2.50-2.63, 1 Au 2.66
Cu 0.5962 0.5110 0.5892  5 Cu 2.53-2.72, 3 Ga 2.60-2.81, 2 Au 2.68-2.78
Cu 0.7012 0.3364 0.9450  6 Cu 2.45-2.71, 3 Ga 2.49-2.52, 1 Au 2.70
Cu 0.7826 0.8941 0.4237  4 Ga 2.48-2.78, 4 Cu 2.50-2.78, 2 Au 2.64-2.75
Au 0.2413 0.6288 0.3451  2 Ga 2.57-2.75, 6 Cu 2.64-2.81, 2 Au 2.77-2.83
Au 0.8135 0.6181 0.1500  3 Ga 2.61-2.73, 6 Cu 2.70-2.87, 2 Au 2.77-2.83

***

Compound: Ga3Cu8Au2
Source: the Alexandria database
Functional: PBE-GGA
Structure: optimized geometry

Properties
Crystal system: trigonal
Magnetic moment, μB/f.u.: 0.00
Total energy, eV/f.u.: -48.1
Symmetry: No. 166

abc: 9.8220 9.8220 9.8220
angles: 28.48 28.48 28.48
Last column: nearest neighbours and their distance in Å.
Sites, in units of the cell vectors:
Ga 0.0000 0.0000 0.0000  6 Au 2.90
Ga 0.1839 0.1839 0.1839  10 Cu 2.41-2.68
Ga 0.8161 0.8161 0.8161  10 Cu 2.41-2.68
Cu 0.2253 0.7242 0.7242  4 Cu 2.41-2.42, 3 Ga 2.54-2.68, 1 Au 2.68
Cu 0.2691 0.2691 0.2691  1 Ga 2.41, 1 Au 2.60
Cu 0.2758 0.2758 0.7747  4 Cu 2.41-2.42, 3 Ga 2.54-2.68, 1 Au 2.68
Cu 0.2758 0.7747 0.2758  4 Cu 2.41-2.42, 3 Ga 2.54-2.68, 1 Au 2.68
Cu 0.7242 0.2253 0.7242  4 Cu 2.41-2.42, 3 Ga 2.54-2.68, 1 Au 2.68
Cu 0.7242 0.7242 0.2253  4 Cu 2.41-2.42, 3 Ga 2.54-2.68, 1 Au 2.68
Cu 0.7309 0.7309 0.7309  1 Ga 2.41, 1 Au 2.60
Cu 0.7747 0.2758 0.2758  4 Cu 2.41-2.42, 3 Ga 2.54-2.68, 1 Au 2.68
Au 0.3611 0.3611 0.3611  4 Cu 2.60-2.68, 3 Ga 2.90
Au 0.6389 0.6389 0.6389  4 Cu 2.60-2.68, 3 Ga 2.90

***

Compound: GaCu4Au9
Source: the Alexandria database
Functional: PBE-GGA
Structure: optimized geometry

Properties
Crystal system: hexagonal
Magnetic moment, μB/f.u.: 0.00
Total energy, eV/f.u.: -49.0
Symmetry: No. 194

abc: 7.9241 7.9241 8.4888
angles: 90.00 90.00 120.00
Last column: nearest neighbours and their distance in Å.
Sites, in units of the cell vectors:
Ga 0.3333 0.6667 0.2500  9 Au 2.58-2.84
Ga 0.6667 0.3333 0.7500  9 Au 2.58-2.84
Cu 0.0000 0.0000 0.0000  6 Cu 2.57, 6 Au 2.77
Cu 0.0000 0.0000 0.5000  6 Cu 2.57, 6 Au 2.77
Cu 0.1054 0.2108 0.7500  4 Cu 2.51-2.57, 4 Au 2.71-2.75
Cu 0.1054 0.8946 0.7500  4 Cu 2.51-2.57, 4 Au 2.71-2.75
Cu 0.2108 0.1054 0.2500  4 Cu 2.51-2.57, 4 Au 2.71-2.75
Cu 0.7892 0.8946 0.7500  4 Cu 2.51-2.57, 4 Au 2.71-2.75
Cu 0.8946 0.1054 0.2500  4 Cu 2.51-2.57, 4 Au 2.71-2.75
Cu 0.8946 0.7892 0.2500  4 Cu 2.51-2.57, 4 Au 2.71-2.75
Au 0.0800 0.5400 0.7500  2 Cu 2.71, 1 Ga 2.84, 6 Au 3.00-3.01
Au 0.2010 0.4021 0.0346  1 Ga 2.58, 2 Cu 2.75-2.77, 2 Au 2.82
Au 0.2010 0.4021 0.4654  1 Ga 2.58, 2 Cu 2.75-2.77, 2 Au 2.82
Au 0.2010 0.7990 0.0346  1 Ga 2.58, 2 Cu 2.75-2.77, 2 Au 2.82
Au 0.2010 0.7990 0.4654  1 Ga 2.58, 2 Cu 2.75-2.77, 2 Au 2.82
Au 0.4021 0.2010 0.5346  1 Ga 2.58, 2 Cu 2.75-2.77, 2 Au 2.82
Au 0.4021 0.2010 0.9654  1 Ga 2.58, 2 Cu 2.75-2.77, 2 Au 2.82
Au 0.4600 0.5400 0.7500  2 Cu 2.71, 1 Ga 2.84, 6 Au 3.00-3.01
Au 0.4600 0.9200 0.7500  2 Cu 2.71, 1 Ga 2.84, 6 Au 3.00-3.01
Au 0.5400 0.0800 0.2500  2 Cu 2.71, 1 Ga 2.84, 6 Au 3.00-3.01
Au 0.5400 0.4600 0.2500  2 Cu 2.71, 1 Ga 2.84, 6 Au 3.00-3.01
Au 0.5979 0.7990 0.0346  1 Ga 2.58, 2 Cu 2.75-2.77, 2 Au 2.82
Au 0.5979 0.7990 0.4654  1 Ga 2.58, 2 Cu 2.75-2.77, 2 Au 2.82
Au 0.7990 0.2010 0.5346  1 Ga 2.58, 2 Cu 2.75-2.77, 2 Au 2.82
Au 0.7990 0.2010 0.9654  1 Ga 2.58, 2 Cu 2.75-2.77, 2 Au 2.82
Au 0.7990 0.5979 0.5346  1 Ga 2.58, 2 Cu 2.75-2.77, 2 Au 2.82
Au 0.7990 0.5979 0.9654  1 Ga 2.58, 2 Cu 2.75-2.77, 2 Au 2.82
Au 0.9200 0.4600 0.2500  2 Cu 2.71, 1 Ga 2.84, 6 Au 3.00-3.01

***

Compound: Ga2Cu3Au2
Source: the Alexandria database
Functional: PBE-GGA
Structure: optimized geometry

Properties
Crystal system: cubic
Magnetic moment, μB/f.u.: 0.00
Total energy, eV/f.u.: -24.9
Symmetry: No. 199

abc: 6.6405 6.6405 6.6405
angles: 109.47 109.47 109.47
Last column: nearest neighbours and their distance in Å.
Sites, in units of the cell vectors:
Ga 0.0000 0.4783 0.5000  1 Au 2.50, 6 Cu 2.53-2.78
Ga 0.0217 0.0217 0.0217  1 Au 2.50, 6 Cu 2.53-2.78
Ga 0.4783 0.5000 0.0000  1 Au 2.50, 6 Cu 2.53-2.78
Ga 0.5000 0.0000 0.4783  1 Au 2.50, 6 Cu 2.53-2.78
Cu 0.0118 0.2618 0.7500  4 Ga 2.53-2.78, 2 Au 2.61, 4 Cu 2.65
Cu 0.2382 0.2500 0.4882  4 Ga 2.53-2.78, 2 Au 2.61, 4 Cu 2.65
Cu 0.2500 0.4882 0.2382  4 Ga 2.53-2.78, 2 Au 2.61, 4 Cu 2.65
Cu 0.2618 0.7500 0.0118  4 Ga 2.53-2.78, 2 Au 2.61, 4 Cu 2.65
Cu 0.4882 0.2382 0.2500  4 Ga 2.53-2.78, 2 Au 2.61, 4 Cu 2.65
Cu 0.7500 0.0118 0.2618  4 Ga 2.53-2.78, 2 Au 2.61, 4 Cu 2.65
Au 0.0000 0.8552 0.5000  1 Ga 2.50, 3 Cu 2.61
Au 0.5000 0.0000 0.8552  1 Ga 2.50, 3 Cu 2.61
Au 0.6448 0.6448 0.6448  1 Ga 2.50, 3 Cu 2.61
Au 0.8552 0.5000 0.0000  1 Ga 2.50, 3 Cu 2.61